Material: Y5CO5
Method: DFT, PBE
State: relaxed

## Properties
Its crystal system is monoclinic. Its formation energy (no corrections) is -2.68 eV/atom. The spin magnetization comes out at 0.000 Bohr magnetons per cell. For the calculated density, the calculation gives 5.2 g/cm³.

a = 5.986 Å, b = 5.986 Å, c = 6.879 Å
α = 107.18°, β = 107.18°, γ = 47.15°
Fractional coordinates of all 11 atoms:
Y 0.000 0.000 0.000
Y 0.335 0.335 0.666
Y 0.345 0.345 0.179
Y 0.655 0.655 0.821
Y 0.665 0.665 0.334
C 0.500 0.500 0.000
O 0.180 0.180 0.326
O 0.180 0.180 0.854
O 0.500 0.500 0.500
O 0.820 0.820 0.146
O 0.820 0.820 0.674